# 1
VASP calculation (PBE-GGA) on crystalline RbNa2Pm at its relaxed geometry.

Cell: 14.740 14.740 14.740 Å, 14.61 14.61 14.61°
Positions (direct):
Rb 0.000 0.000 0.000
Na 0.420 0.420 0.420
Na 0.580 0.580 0.580
Pm 0.500 0.500 0.500

Output
The calculation puts the calculated formation energy at 33.5 kJ per mole of atoms. Its raw total energy is -1.74 eV/atom. The calculated volume comes out at 177 Å³ per cell. Its space-group type is No. 166.

# 2
VASP calculation (PBE-GGA) on crystalline Rb4U3PaS8 at its relaxed geometry.

Cell: 9.095 9.095 9.095 Å, 52.86 52.86 52.86°
Positions (direct):
Rb 0.000 0.000 0.000
Rb 0.000 0.500 0.500
Rb 0.500 0.000 0.500
Rb 0.500 0.500 0.000
U 0.000 0.000 0.500
U 0.000 0.500 0.000
U 0.500 0.000 0.000
Pa 0.500 0.500 0.500
S 0.231 0.231 0.231
S 0.234 0.731 0.731
S 0.269 0.269 0.766
S 0.269 0.766 0.269
S 0.731 0.234 0.731
S 0.731 0.731 0.234
S 0.766 0.269 0.269
S 0.769 0.769 0.769

Output
Its raw total energy is -6.40 eV/atom. The calculated volume comes out at 443 Å³ per cell. Its space-group type is No. 166. The formation energy without anion corrections is -1384 meV/atom.